Crystalline BiPdS2Cl at its relaxed geometry, computed with PBE-GGA.

The calculation puts the formation energy from raw total energies at 0.0255 eV/atom. The size of the total moment is 0.000 μB per formula unit. The value obtained for the uncorrected energy is -0.2800 Ry/atom.

Unit cell a=4.803 b=4.803 c=4.689 alpha=90.00 beta=90.00 gamma=90.00
Sites, in units of the cell vectors:
1 Bi 0.000 0.000 0.000
2 Pd 0.500 0.500 0.500
3 S 0.000 0.500 0.500
4 S 0.500 0.000 0.500
5 Cl 0.500 0.500 0.000

---

Crystalline Nb2InPd at its relaxed geometry, computed with PBE-GGA.

The size of the total moment is 0.000 μB per formula unit. The value obtained for the uncorrected energy is -0.5362 Ry/atom. The formation energy is -0.28 eV per atom.

Unit cell a=4.470 b=3.464 c=9.368 alpha=90.00 beta=90.00 gamma=90.00
Sites, in units of the cell vectors:
1 Nb 0.250 0.000 0.119
2 Nb 0.250 0.500 0.876
3 Nb 0.750 0.000 0.881
4 Nb 0.750 0.500 0.124
5 In 0.250 0.500 0.379
6 In 0.750 0.500 0.621
7 Pd 0.250 0.000 0.632
8 Pd 0.750 0.000 0.368

---

Crystalline Ti3MnNb at its relaxed geometry, computed with PBE-GGA.

The size of the total moment is 0.000 μB per formula unit. The value obtained for the uncorrected energy is -0.6374 Ry/atom. The formation energy is -0.09 eV per atom.

Unit cell a=3.037 b=6.803 c=8.004 alpha=77.56 beta=79.18 gamma=89.94
Sites, in units of the cell vectors:
1 Ti 0.003 0.210 0.495
2 Ti 0.187 0.880 0.127
3 Ti 0.198 0.321 0.104
4 Ti 0.802 0.679 0.896
5 Ti 0.813 0.120 0.873
6 Ti 0.997 0.790 0.505
7 Mn 0.398 0.940 0.703
8 Mn 0.602 0.060 0.297
9 Nb 0.401 0.454 0.696
10 Nb 0.599 0.546 0.304

---

Crystalline RbYHf at its relaxed geometry, computed with PBE-GGA.

The size of the total moment is 0.194 μB per formula unit. The value obtained for the uncorrected energy is -0.3935 Ry/atom. The formation energy is 0.44 eV per atom.

Unit cell a=3.439 b=5.310 c=13.617 alpha=90.00 beta=96.71 gamma=90.00
Sites, in units of the cell vectors:
1 Rb 0.000 0.000 0.000
2 Rb 0.328 0.500 0.713
3 Y 0.202 0.500 0.433
4 Y 0.600 0.500 0.211
5 Hf 0.143 0.000 0.305
6 Hf 0.729 0.000 0.490

---

- The highest uncorrected energy belongs to which entry?
  BiPdS2Cl